PmPrPuTl, relaxed, DFT PBE; formation enthalpy at 0 K = 95 meV per atom; M_tot = 6.991 Bohr magnetons per cell; SG = F-43m (216)
1.0
-4.1214 -3.6606 0.7591
-0.9319 -2.1318 5.0546
-4.5453 1.4791 2.8486
Pm Tl Pr Pu
1 1 1 1
direct
0.7500 0.7500 0.7500
0.2500 0.2500 0.2500
0.0000 0.0000 0.0000
0.5000 0.5000 0.5000